(1)
DFT (GGA-PBE) results for a relaxed SrTh5P6 crystal.

Calculated values
Size of the total moment, μB/f.u.: 0.00
Space-group type: C2/m (12)
Calculated formation energy, eV/atom: -1.485

a = 7.2315 Å, b = 7.2292 Å, c = 7.2205 Å
α = 59.96°, β = 80.42°, γ = 70.57°
Sites, in units of the cell vectors:
P  0.7441  0.0853  0.3412
P  0.7480  0.7432  0.0000
P  0.2559  0.9147  0.6588
P  0.2520  0.2568  0.0000
P  0.7441  0.4265  0.6588
P  0.2559  0.5735  0.3412
Th  0.5000  0.1635  0.6730
Th  0.0000  0.3332  0.3337
Th  0.0000  0.6668  0.6663
Th  0.5000  0.5000  0.0000
Th  0.5000  0.8365  0.3270
Sr  0.0000  0.0000  0.0000



(2)
DFT (GGA-PBE) results for a relaxed SrTh2P3 crystal.

Calculated values
Size of the total moment, μB/f.u.: 0.00
Space-group type: P6_3/mmc (194)
Calculated formation energy, eV/atom: -1.426

a = 4.1948 Å, b = 4.1948 Å, c = 21.0081 Å
α = 90.00°, β = 90.00°, γ = 120.00°
Sites, in units of the cell vectors:
P  0.3333  0.6667  0.3432
P  0.6667  0.3333  0.6568
P  0.3333  0.6667  0.1568
P  0.0000  0.0000  0.5000
P  0.6667  0.3333  0.8432
P  0.0000  0.0000  0.0000
Th  0.3333  0.6667  0.9187
Th  0.3333  0.6667  0.5813
Th  0.6667  0.3333  0.0813
Th  0.6667  0.3333  0.4187
Sr  0.0000  0.0000  0.2500
Sr  0.0000  0.0000  0.7500



(3)
DFT (GGA-PBE) results for a relaxed SrThP2 crystal.

Calculated values
Energy above the lowest structure with this stoichiometry, meV/atom: 0
Size of the total moment, μB/f.u.: 0.00
Space-group type: R-3m (166)
Calculated formation energy, eV/atom: -1.391

a = 4.2640 Å, b = 4.2640 Å, c = 7.4482 Å
α = 73.37°, β = 73.37°, γ = 60.00°
Sites, in units of the cell vectors:
Th  0.0000  0.0000  0.0000
P  0.2587  0.2587  0.2238
P  0.7413  0.7413  0.7762
Sr  0.5000  0.5000  0.5000



Repeat the third record exactly.
DFT (GGA-PBE) results for a relaxed SrThP2 crystal.

Calculated values
Energy above the lowest structure with this stoichiometry, meV/atom: 0
Size of the total moment, μB/f.u.: 0.00
Space-group type: R-3m (166)
Calculated formation energy, eV/atom: -1.391

a = 4.2640 Å, b = 4.2640 Å, c = 7.4482 Å
α = 73.37°, β = 73.37°, γ = 60.00°
Sites, in units of the cell vectors:
Th  0.0000  0.0000  0.0000
P  0.2587  0.2587  0.2238
P  0.7413  0.7413  0.7762
Sr  0.5000  0.5000  0.5000



calculated formation energy of number 2 (SrTh2P3)? -1.426 eV/atom



What is the calculated formation energy in the first record? -1.485 eV/atom